DFT (PBE-GGA) results for a relaxed structure of K2CoRu.

```
K2CoRu
1.0
6.142 0.006 0.000
3.639 4.948 0.000
-4.891 -2.477 2.770
Co K Ru
1 2 1
direct
0.750 0.250 0.500
0.500 0.500 0.000
0.000 0.000 0.000
0.250 0.750 0.500
```

Summary:
Raw total energy: -3.3581 eV/atom
Size of the total moment: 2.739 Bohr magnetons per cell
V: 84 Å³/f.u.
Distance to the lowest polymorph of the same formula: 587 meV/atom
Mass density: 4.70 g cm⁻³
Fermi-level density of states: 2.63 states/eV/cell